No. 1
Entry from Alexandria: crystalline BeTe2Rh at its relaxed geometry (GGA-PBE).

It has space group R-3m (No. 166, hexagonal axes), with a = 3.4625 Å, b = 3.4625 Å, c = 24.6571 Å, α = 90.00°, β = 90.00° and γ = 120.00°. The distinct sites, in fractional coordinates, are Be at (0.0000, 0.0000, 0.0000), Te at (0.0000, 0.0000, 0.3973) and Rh at (0.0000, 0.0000, 0.5000).

For the density of states at the Fermi level, the calculation gives 0.786 states/eV/atom. Its volume is 85 Å³/f.u. For the formation energy without anion corrections, the calculation gives 0.345 eV/atom.

=====

No. 2
Entry from Alexandria: crystalline BeTe2Rh at its relaxed geometry (GGA-PBE).

It has space group P4/mmm (No. 123), with a = 3.309 Å, b = 3.309 Å, c = 6.865 Å, α = 90.00°, β = 90.00° and γ = 90.00°. The distinct sites, in fractional coordinates, are Be at (0.000, 0.000, 0.000), Te at (0.500, 0.500, 0.245) and Rh at (0.000, 0.000, 0.500).

For the density of states at the Fermi level, the calculation gives 0.714 states/eV/atom. Its volume is 75 Å³/f.u. For the formation energy without anion corrections, the calculation gives 0.400 eV/atom.

=====

No. 3
Entry from Alexandria: crystalline Be3TeRh at its relaxed geometry (GGA-PBE).

It has space group Pm-3m (No. 221), with a = 4.486 Å, b = 4.486 Å, c = 4.486 Å, α = 90.00°, β = 90.00° and γ = 90.00°. The distinct sites, in fractional coordinates, are Be at (0.000, 0.000, 0.500), Te at (0.000, 0.000, 0.000) and Rh at (0.500, 0.500, 0.500).

For the density of states at the Fermi level, the calculation gives 0.715 states/eV/atom. Its volume is 90 Å³/f.u. The calculation puts the energy above the most stable polymorph in this dataset at 1128 meV per atom. For the formation energy without anion corrections, the calculation gives 1.526 eV/atom.

=====

No. 4
Entry from Alexandria: crystalline Be2Te2Rh at its relaxed geometry (GGA-PBE).

It has space group I4/mmm (No. 139), with a = 5.031 Å, b = 5.031 Å, c = 7.027 Å, α = 90.00°, β = 90.00° and γ = 90.00°. The distinct sites, in fractional coordinates, are Be at (0.000, 0.000, 0.158), Te at (0.000, 0.500, 0.250) and Rh at (0.000, 0.000, 0.500).

For the density of states at the Fermi level, the calculation gives 0.990 states/eV/atom. Its volume is 89 Å³/f.u. The calculation puts the energy above the most stable polymorph in this dataset at 188 meV per atom. For the formation energy without anion corrections, the calculation gives 0.448 eV/atom.

=====

No. 5
Entry from Alexandria: crystalline BeTe2Rh at its relaxed geometry (GGA-PBE).

It has space group Immm (No. 71), with a = 3.640 Å, b = 5.803 Å, c = 7.601 Å, α = 90.00°, β = 90.00° and γ = 90.00°. The distinct sites, in fractional coordinates, are Be at (0.000, 0.000, 0.000), Te at (0.000, 0.500, 0.270) and Rh at (0.000, 0.000, 0.500).

For the density of states at the Fermi level, the calculation gives 0.670 states/eV/atom. Its volume is 80 Å³/f.u. For the formation energy without anion corrections, the calculation gives 0.344 eV/atom.

=====

No. 6
Entry from Alexandria: crystalline BeTe2Rh at its relaxed geometry (GGA-PBE).

It has space group C2/m (No. 12), with a = 6.643 Å, b = 3.810 Å, c = 6.623 Å, α = 90.00°, β = 109.39° and γ = 90.00°. The distinct sites, in fractional coordinates, are Be at (0.000, 0.000, 0.000), Te at (0.247, 0.500, 0.245) and Rh at (0.000, 0.500, 0.500).

For the density of states at the Fermi level, the calculation gives 0.371 states/eV/atom. Its volume is 79 Å³/f.u. For the formation energy without anion corrections, the calculation gives 0.003 eV/atom.